Record 1
Material: KPuI2
Method: DFT, PBE
State: relaxed

E_form (uncorrected): -3.22 eV/f.u.
excess energy over the best structure of this formula in the dataset: 12.3 kJ/mol of formula units
DFT total energy: -5.44 eV/atom

a = 11.5612 Å, b = 11.5612 Å, c = 11.5612 Å
α = 21.44°, β = 21.44°, γ = 21.44°
Last column: nearest neighbours and their distance in Å.
Positions (direct):
K 0.0000 0.0000 0.0000  2 I 3.64
Pu 0.5000 0.5000 0.5000  6 I 3.19
I 0.1074 0.1074 0.1074  3 Pu 3.19
I 0.8926 0.8926 0.8926  3 Pu 3.19

***

Record 2
Material: Hg4AsIr
Method: DFT, PBE
State: relaxed

DFT total energy: -1.65 eV/atom

a = 5.6568 Å, b = 5.6568 Å, c = 5.6568 Å
α = 60.00°, β = 60.00°, γ = 60.00°
Last column: nearest neighbours and their distance in Å.
Positions (direct):
Hg 0.1248 0.1248 0.1248  6 Hg 2.82-2.83
Hg 0.1248 0.1248 0.6256  6 Hg 2.82-2.83
Hg 0.1248 0.6256 0.1248  6 Hg 2.82-2.83
Hg 0.6256 0.1248 0.1248  6 Hg 2.82-2.83
As 0.5000 0.5000 0.5000  12 Hg 3.32, 4 Ir 3.46
Ir 0.7500 0.7500 0.7500  12 Hg 3.32, 4 As 3.46

***

Record 3
Material: HfBe6Fe2
Method: DFT, PBE
State: relaxed

DFT total energy: -5.46 eV/atom

a = 6.1318 Å, b = 6.1318 Å, c = 6.1318 Å
α = 151.38°, β = 121.26°, γ = 66.63°
Last column: nearest neighbours and their distance in Å.
Positions (direct):
Hf 0.0000 0.0000 0.0000  12 Be 2.55-2.73
Be 0.0258 0.3161 0.7097  3 Be 2.04-2.09, 1 Fe 2.27
Be 0.3407 0.5000 0.8407  3 Be 1.92-2.04
Be 0.3936 0.6839 0.7097  3 Be 2.04-2.09, 1 Fe 2.27
Be 0.6064 0.3161 0.2903  3 Be 2.04-2.09, 1 Fe 2.27
Be 0.6593 0.5000 0.1593  3 Be 1.92-2.04
Be 0.9742 0.6839 0.2903  3 Be 2.04-2.09, 1 Fe 2.27
Fe 0.3681 0.8681 0.5000  10 Be 2.25-2.37
Fe 0.6319 0.1319 0.5000  10 Be 2.25-2.37

***

Record 4
Material: AgSnGeS4
Method: DFT, PBE
State: relaxed

E_form (uncorrected): -1.60 eV/f.u.
DFT total energy: -4.23 eV/atom

a = 7.6180 Å, b = 7.6180 Å, c = 7.6180 Å
α = 121.20°, β = 118.97°, γ = 89.86°
Last column: nearest neighbours and their distance in Å.
Positions (direct):
Ag 0.3890 0.1390 0.2500  4 S 2.47-2.53
Ag 0.6110 0.8610 0.7500  4 S 2.47-2.53
Sn 0.0000 0.5000 0.5000  6 S 2.59-2.62
Sn 0.5000 0.5000 0.0000  6 S 2.59-2.62
Ge 0.0000 0.0000 0.5000  6 S 2.58-2.61
Ge 0.0000 0.5000 0.0000  6 S 2.58-2.61
S 0.2185 0.7392 0.4793  1 Ag 2.47, 2 Ge 2.58, 1 Sn 2.59
S 0.2400 0.2608 0.9793  1 Ag 2.47, 2 Ge 2.58, 1 Sn 2.59
S 0.2419 0.2558 0.5139  1 Ag 2.53, 1 Ge 2.61, 2 Sn 2.62
S 0.2419 0.7280 0.9861  1 Ag 2.53, 1 Ge 2.61, 2 Sn 2.62
S 0.7581 0.2720 0.0139  1 Ag 2.53, 1 Ge 2.61, 2 Sn 2.62
S 0.7581 0.7442 0.4861  1 Ag 2.53, 1 Ge 2.61, 2 Sn 2.62
S 0.7600 0.7392 0.0207  1 Ag 2.47, 2 Ge 2.58, 1 Sn 2.59
S 0.7815 0.2608 0.5207  1 Ag 2.47, 2 Ge 2.58, 1 Sn 2.59